--- a ---
# HoTmTlCo | Alexandria | GGA-PBE | optimized geometry
data_HoTmTlCo
_chemical_formula_sum 'Ho4 Tm4 Tl4 Co4'
_symmetry_space_group_name_H-M 'F -4 3 m'
_symmetry_Int_Tables_number 216
_symmetry_space_group_name_Hall 'F -4 2 3'
_cell_length_a 7.153
_cell_length_b 7.153
_cell_length_c 7.153
_cell_angle_alpha 90.00
_cell_angle_beta 90.00
_cell_angle_gamma 90.00
loop_
_atom_site_label
_atom_site_type_symbol
_atom_site_fract_x
_atom_site_fract_y
_atom_site_fract_z
Ho1 Ho 0.000 0.000 0.000
Tm1 Tm 0.000 0.000 0.500
Tl1 Tl 0.250 0.250 0.750
Co1 Co 0.250 0.250 0.250
# V = 366 Å³/cell
# density of states at the Fermi level = 9.7 states/eV per cell

=====

--- b ---
# HoTmTlCo | Alexandria | GGA-PBE | optimized geometry
data_HoTmTlCo
_chemical_formula_sum 'Ho1 Tm1 Tl1 Co1'
_symmetry_space_group_name_H-M 'P 4 m m'
_symmetry_Int_Tables_number 99
_cell_length_a 3.366
_cell_length_b 3.366
_cell_length_c 7.948
_cell_angle_alpha 90.00
_cell_angle_beta 90.00
_cell_angle_gamma 90.00
loop_
_symmetry_equiv_pos_as_xyz
'x,y,z'
'-y,x,z'
'-x,-y,z'
'y,-x,z'
'-x,y,z'
'y,x,z'
'x,-y,z'
'-y,-x,z'
loop_
_atom_site_label
_atom_site_type_symbol
_atom_site_fract_x
_atom_site_fract_y
_atom_site_fract_z
Ho1 Ho 0.000 0.000 0.000
Tm1 Tm 0.000 0.000 0.594
Tl1 Tl 0.500 0.500 0.300
Co1 Co 0.500 0.500 0.794
# V = 90 Å³/cell
# density of states at the Fermi level = 3.3 states/eV per cell

=====

The structure with the most favorable energy is b; the runner-up is 13.1 kJ/mol of atoms above it.

=====

--- a ---
# HoTm2Co | Alexandria | GGA-PBE | optimized geometry
data_HoTm2Co
_chemical_formula_sum 'Ho1 Tm2 Co1'
_symmetry_space_group_name_H-M 'P 4/m m m'
_symmetry_Int_Tables_number 123
_symmetry_space_group_name_Hall '-P 4 2'
_cell_length_a 3.349
_cell_length_b 3.349
_cell_length_c 8.708
_cell_angle_alpha 90.00
_cell_angle_beta 90.00
_cell_angle_gamma 90.00
loop_
_atom_site_label
_atom_site_type_symbol
_atom_site_fract_x
_atom_site_fract_y
_atom_site_fract_z
Ho1 Ho 0.000 0.000 0.000
Tm1 Tm 0.500 0.500 0.317
Co1 Co 0.000 0.000 0.500
# V = 98 Å³/cell
# density of states at the Fermi level = 4.4 states/eV per cell

=====

--- b ---
# HoTm2Co | Alexandria | GGA-PBE | optimized geometry
data_HoTm2Co
_chemical_formula_sum 'Ho4 Tm8 Co4'
_symmetry_space_group_name_H-M 'P n m a'
_symmetry_Int_Tables_number 62
_cell_length_a 6.890
_cell_length_b 9.224
_cell_length_c 6.181
_cell_angle_alpha 90.00
_cell_angle_beta 90.00
_cell_angle_gamma 90.00
loop_
_symmetry_equiv_pos_as_xyz
'x,y,z'
'-x,-y,-z'
'-x+1/2,-y,z+1/2'
'x+1/2,y,-z+1/2'
'x+1/2,-y+1/2,-z+1/2'
'-x+1/2,y+1/2,z+1/2'
'-x,y+1/2,-z'
'x,-y+1/2,z'
loop_
_atom_site_label
_atom_site_type_symbol
_atom_site_fract_x
_atom_site_fract_y
_atom_site_fract_z
Ho1 Ho 0.042 0.250 0.138
Tm1 Tm 0.175 0.067 0.677
Co1 Co 0.113 0.750 0.454
# V = 393 Å³/cell
# density of states at the Fermi level = 17.9 states/eV per cell

=====

--- c ---
# HoTm2Co | Alexandria | GGA-PBE | optimized geometry
data_HoTm2Co
_chemical_formula_sum 'Ho4 Tm8 Co4'
_symmetry_space_group_name_H-M 'C m c m'
_symmetry_Int_Tables_number 63
_symmetry_space_group_name_Hall '-C 2c 2'
_cell_length_a 3.633
_cell_length_b 11.881
_cell_length_c 9.152
_cell_angle_alpha 90.00
_cell_angle_beta 90.00
_cell_angle_gamma 90.00
loop_
_atom_site_label
_atom_site_type_symbol
_atom_site_fract_x
_atom_site_fract_y
_atom_site_fract_z
Ho1 Ho 0.000 0.082 0.250
Tm1 Tm 0.000 0.359 0.071
Co1 Co 0.000 0.249 0.750
# V = 395 Å³/cell
# density of states at the Fermi level = 19.8 states/eV per cell

=====

--- d ---
# HoTm2Co | Alexandria | GGA-PBE | optimized geometry
data_HoTm2Co
_chemical_formula_sum 'Ho3 Tm6 Co3'
_symmetry_space_group_name_H-M 'R -3 m'
_symmetry_Int_Tables_number 166
_symmetry_space_group_name_Hall '-R 3 2"'
_cell_length_a 3.5253
_cell_length_b 3.5253
_cell_length_c 30.6260
_cell_angle_alpha 90.00
_cell_angle_beta 90.00
_cell_angle_gamma 120.00
loop_
_atom_site_label
_atom_site_type_symbol
_atom_site_fract_x
_atom_site_fract_y
_atom_site_fract_z
Ho1 Ho 0.0000 0.0000 0.0000
Tm1 Tm 0.0000 0.0000 0.1134
Co1 Co 0.0000 0.0000 0.5000
# V = 330 Å³/cell
# density of states at the Fermi level = 16.2 states/eV per cell

=====

The structure with the most favorable energy is b; the runner-up is 2.5 kJ/mol of atoms above it.

=====

--- a ---
# HoTmCo | Alexandria | GGA-PBE | optimized geometry
data_HoTmCo
_chemical_formula_sum 'Ho4 Tm4 Co4'
_symmetry_space_group_name_H-M 'F -4 3 m'
_symmetry_Int_Tables_number 216
_symmetry_space_group_name_Hall 'F -4 2 3'
_cell_length_a 6.565
_cell_length_b 6.565
_cell_length_c 6.565
_cell_angle_alpha 90.00
_cell_angle_beta 90.00
_cell_angle_gamma 90.00
loop_
_atom_site_label
_atom_site_type_symbol
_atom_site_fract_x
_atom_site_fract_y
_atom_site_fract_z
Ho1 Ho 0.000 0.000 0.000
Tm1 Tm 0.000 0.000 0.500
Co1 Co 0.250 0.250 0.250
# V = 283 Å³/cell
# density of states at the Fermi level = 12.5 states/eV per cell

=====

--- b ---
# HoTmCo | Alexandria | GGA-PBE | optimized geometry
data_HoTmCo
_chemical_formula_sum 'Ho2 Tm2 Co2'
_symmetry_space_group_name_H-M 'I 4 m m'
_symmetry_Int_Tables_number 107
_symmetry_space_group_name_Hall 'I 4 -2'
_cell_length_a 3.332
_cell_length_b 3.332
_cell_length_c 12.458
_cell_angle_alpha 90.00
_cell_angle_beta 90.00
_cell_angle_gamma 90.00
loop_
_atom_site_label
_atom_site_type_symbol
_atom_site_fract_x
_atom_site_fract_y
_atom_site_fract_z
Ho1 Ho 0.000 0.000 0.000
Tm1 Tm 0.000 0.000 0.743
Co1 Co 0.000 0.000 0.370
# V = 138 Å³/cell
# density of states at the Fermi level = 3.8 states/eV per cell

=====

--- c ---
# HoTmCo | Alexandria | GGA-PBE | optimized geometry
data_HoTmCo
_chemical_formula_sum 'Ho1 Tm1 Co1'
_symmetry_space_group_name_H-M 'P 3 m 1'
_symmetry_Int_Tables_number 156
_cell_length_a 3.8184
_cell_length_b 3.8184
_cell_length_c 6.1347
_cell_angle_alpha 90.00
_cell_angle_beta 90.00
_cell_angle_gamma 120.00
loop_
_symmetry_equiv_pos_as_xyz
'x,y,z'
'-y,x-y,z'
'-x+y,-x,z'
'-y,-x,z'
'-x+y,y,z'
'x,x-y,z'
loop_
_atom_site_label
_atom_site_type_symbol
_atom_site_fract_x
_atom_site_fract_y
_atom_site_fract_z
Ho1 Ho 0.0000 0.0000 0.0000
Tm1 Tm 0.3333 0.6667 0.4664
Co1 Co 0.6667 0.3333 0.2347
# V = 77 Å³/cell
# density of states at the Fermi level = 2.8 states/eV per cell

=====

The structure with the most favorable energy is b; the runner-up is 6.4 kJ/mol of atoms above it.

=====

--- a ---
# Ho3TmCo | Alexandria | GGA-PBE | optimized geometry
data_Ho3TmCo
_chemical_formula_sum 'Ho3 Tm1 Co1'
_symmetry_space_group_name_H-M 'P m -3 m'
_symmetry_Int_Tables_number 221
_symmetry_space_group_name_Hall '-P 4 2 3'
_cell_length_a 5.233
_cell_length_b 5.233
_cell_length_c 5.233
_cell_angle_alpha 90.00
_cell_angle_beta 90.00
_cell_angle_gamma 90.00
loop_
_atom_site_label
_atom_site_type_symbol
_atom_site_fract_x
_atom_site_fract_y
_atom_site_fract_z
Ho1 Ho 0.000 0.000 0.500
Tm1 Tm 0.500 0.500 0.500
Co1 Co 0.000 0.000 0.000
# V = 143 Å³/cell
# density of states at the Fermi level = 7.5 states/eV per cell

=====

--- b ---
# Ho3TmCo | Alexandria | GGA-PBE | optimized geometry
data_Ho3TmCo
_chemical_formula_sum 'Ho6 Tm2 Co2'
_symmetry_space_group_name_H-M 'P m n 21'
_symmetry_Int_Tables_number 31
_cell_length_a 7.378
_cell_length_b 6.297
_cell_length_c 6.014
_cell_angle_alpha 90.00
_cell_angle_beta 90.00
_cell_angle_gamma 90.00
loop_
_symmetry_equiv_pos_as_xyz
'x,y,z'
'-x+1/2,-y,z+1/2'
'-x,y,z'
'x+1/2,-y,z+1/2'
loop_
_atom_site_label
_atom_site_type_symbol
_atom_site_fract_x
_atom_site_fract_y
_atom_site_fract_z
Ho1 Ho 0.000 0.154 0.000
Ho2 Ho 0.250 0.325 0.500
Tm1 Tm 0.000 0.844 0.500
Co1 Co 0.000 0.501 0.250
# V = 279 Å³/cell
# density of states at the Fermi level = 13.0 states/eV per cell

=====

--- c ---
# Ho3TmCo | Alexandria | GGA-PBE | optimized geometry
data_Ho3TmCo
_chemical_formula_sum 'Ho12 Tm4 Co4'
_symmetry_space_group_name_H-M 'C 1 2/m 1'
_symmetry_Int_Tables_number 12
_cell_length_a 11.475
_cell_length_b 8.238
_cell_length_c 8.048
_cell_angle_alpha 90.00
_cell_angle_beta 134.34
_cell_angle_gamma 90.00
loop_
_symmetry_equiv_pos_as_xyz
'x,y,z'
'-x,-y,-z'
'-x,y,-z'
'x,-y,z'
'x+1/2,y+1/2,z'
'-x+1/2,-y+1/2,-z'
'-x+1/2,y+1/2,-z'
'x+1/2,-y+1/2,z'
loop_
_atom_site_label
_atom_site_type_symbol
_atom_site_fract_x
_atom_site_fract_y
_atom_site_fract_z
Ho1 Ho 0.048 0.000 0.341
Ho2 Ho 0.249 0.298 0.793
Tm1 Tm 0.048 0.500 0.252
Co1 Co 0.250 0.000 0.872
# V = 544 Å³/cell
# density of states at the Fermi level = 20.7 states/eV per cell

=====

The structure with the most favorable energy is c; the runner-up is 5.8 kJ/mol of atoms above it.